{"formula": "NpCoAsN", "functional": "GGA-PBE", "state": "optimized geometry", "lattice": [[3.850, 0.000, 0.000], [0.000, 3.850, 0.000], [0.000, 0.000, 8.089]], "species": ["As", "As", "N", "N", "Co", "Co", "Np", "Np"], "fractional_positions": [[0.500, 0.000, 0.161], [0.000, 0.500, 0.839], [0.500, 0.500, 0.500], [0.000, 0.000, 0.500], [0.000, 0.000, 0.000], [0.500, 0.500, 0.000], [0.000, 0.500, 0.359], [0.500, 0.000, 0.641]], "total_energy_ev_per_atom": -9.092, "raw_formation_energy_ev_per_atom": -0.84}



{"formula": "ThInBi2N", "functional": "GGA-PBE", "state": "optimized geometry", "lattice": [[4.012, 0.000, 0.000], [0.000, 4.012, 0.000], [0.000, 0.000, 18.594]], "species": ["In", "In", "Bi", "Bi", "Bi", "Bi", "N", "N", "Th", "Th"], "fractional_positions": [[0.500, 0.000, 0.146], [0.000, 0.500, 0.854], [0.000, 0.500, 0.055], [0.500, 0.000, 0.309], [0.500, 0.000, 0.945], [0.000, 0.500, 0.691], [0.000, 0.000, 0.500], [0.500, 0.500, 0.500], [0.500, 0.000, 0.563], [0.000, 0.500, 0.437]], "total_energy_ev_per_atom": -5.879, "raw_formation_energy_ev_per_atom": -0.63}



{"formula": "Np2PtRh4", "functional": "GGA-PBE", "state": "optimized geometry", "lattice": [[-1.519, 1.786, -5.524], [-4.819, -2.267, 0.592], [-2.910, 6.836, 2.493]], "species": ["Rh", "Rh", "Rh", "Rh", "Rh", "Rh", "Rh", "Rh", "Np", "Np", "Np", "Np", "Pt", "Pt"], "fractional_positions": [[0.079, 0.750, 0.820], [0.276, 0.750, 0.500], [0.519, 0.498, 0.244], [0.519, 0.002, 0.244], [0.481, 0.502, 0.756], [0.724, 0.250, 0.500], [0.921, 0.250, 0.180], [0.481, 0.998, 0.756], [0.196, 0.250, 0.511], [0.804, 0.750, 0.489], [0.734, 0.750, 0.999], [0.266, 0.250, 0.001], [0.868, 0.250, 0.818], [0.132, 0.750, 0.182]], "total_energy_ev_per_atom": -9.116, "delta_e_f_kj_per_mol_atoms": -34.2}



{"formula": "CsYN2F", "functional": "GGA-PBE", "state": "optimized geometry", "lattice": [[4.762, 0.000, 0.000], [0.000, 4.762, 0.000], [0.000, 0.000, 4.574]], "species": ["Cs", "Y", "F", "N", "N"], "fractional_positions": [[0.500, 0.500, 0.500], [0.000, 0.000, 0.000], [0.000, 0.000, 0.500], [0.000, 0.500, 0.000], [0.500, 0.000, 0.000]], "total_energy_ev_per_atom": -5.857, "raw_formation_energy_ev_per_atom": -0.69, "polymorph_energy_mev_per_atom": 0}



{"formula": "CaPmGaAu", "functional": "GGA-PBE", "state": "optimized geometry", "lattice": [[-0.677, 0.688, 5.096], [-3.462, -2.885, 2.569], [1.614, -3.623, 3.343]], "species": ["Ca", "Ga", "Au", "Pm"], "fractional_positions": [[0.500, 0.500, 0.500], [0.250, 0.250, 0.250], [0.750, 0.750, 0.750], [0.000, 0.000, 0.000]], "total_energy_ev_per_atom": -3.915, "delta_e_f_kj_per_mol_atoms": -62.8, "polymorph_energy_mev_per_atom": 0}



{"formula": "Ca2BeCr", "functional": "GGA-PBE", "state": "optimized geometry", "lattice": [[3.302, 0.007, 0.000], [-0.008, 3.302, 0.000], [0.000, 0.000, 8.368]], "species": ["Ca", "Ca", "Be", "Cr"], "fractional_positions": [[0.000, 0.000, 0.927], [0.500, 0.500, 0.319], [0.500, 0.500, 0.673], [0.000, 0.000, 0.582]], "total_energy_ev_per_atom": -3.930, "delta_e_f_kj_per_mol_atoms": 39.4}